{
  "formula": "Li3CrSiO5",
  "functional": "GGA+U",
  "state": "relaxed",
  "dft_energy_ev_per_atom": -6.597,
  "cell": [[5.1039, 0.0006, 0.0021], [1.6302, 5.4992, 0.0002], [1.5127, 1.0930, 5.9709]],
  "species": ["O", "Li", "O", "O", "Li", "O", "Cr", "O", "O", "O", "Si", "Li", "Li", "Li", "Si", "Cr", "Li", "O", "O", "O"],
  "fractional_positions": [[0.8400, 0.4218, 0.8932], [0.6976, 0.5536, 0.6009], [0.0016, 0.7572, 0.4753], [0.8424, 0.9552, 0.9056], [0.5130, 0.2433, 0.9938], [0.6486, 0.6674, 0.2809], [0.0985, 0.6552, 0.7862], [0.3546, 0.8800, 0.7164], [0.6454, 0.1200, 0.2836], [0.9984, 0.2428, 0.5247], [0.8981, 0.8486, 0.2160], [0.3024, 0.4464, 0.3991], [0.6835, 0.0520, 0.6056], [0.4870, 0.7567, 0.0062], [0.1019, 0.1514, 0.7840], [0.9015, 0.3448, 0.2138], [0.3165, 0.9480, 0.3944], [0.1576, 0.0448, 0.0944], [0.1600, 0.5782, 0.1068], [0.3514, 0.3326, 0.7191]]
}